The following is a DFT calculation (PBE-GGA) of an optimized crystal structure of VCr2Pd9.

a b c (Å): 3.9037 3.9037 11.7153
angles (deg): 90.00 90.00 90.00
With the nearest neighbours (Å) after each atom.
Positions (direct):
V 0.0000 0.0000 0.0000  12 Pd 2.72-2.76
Cr 0.0000 0.0000 0.3380  12 Pd 2.72-2.85
Cr 0.0000 0.0000 0.6620  12 Pd 2.72-2.85
Pd 0.5000 0.5000 0.0000  8 Pd 2.72, 4 V 2.76
Pd 0.5000 0.5000 0.3303  4 Cr 2.76, 8 Pd 2.78-2.79
Pd 0.5000 0.5000 0.6697  4 Cr 2.76, 8 Pd 2.78-2.79
Pd 0.5000 0.0000 0.1613  8 Pd 2.72-2.78, 2 V 2.72, 2 Cr 2.85
Pd 0.5000 0.0000 0.5000  4 Cr 2.72, 8 Pd 2.76-2.79
Pd 0.5000 0.0000 0.8387  8 Pd 2.72-2.78, 2 V 2.72, 2 Cr 2.85
Pd 0.0000 0.5000 0.1613  8 Pd 2.72-2.78, 2 V 2.72, 2 Cr 2.85
Pd 0.0000 0.5000 0.5000  4 Cr 2.72, 8 Pd 2.76-2.79
Pd 0.0000 0.5000 0.8387  8 Pd 2.72-2.78, 2 V 2.72, 2 Cr 2.85

Computed properties:
Total magnetization ... 5.94 μB per formula unit
Calculated total energy ... -6.406 eV/atom
V ... 14.9 A^3/atom
Space-group type ... P4/mmm (123)

---

The following is a DFT calculation (PBE-GGA) of an optimized crystal structure of La3Pm2Ho7.

a b c (Å): 3.6759 5.6578 20.4828
angles (deg): 90.00 95.15 90.00
With the nearest neighbours (Å) after each atom.
Positions (direct):
La 0.5000 0.5000 0.0000  8 Ho 3.32-3.37, 2 La 3.68
La 0.8271 0.0000 0.6540  2 La 3.68, 4 Pm 3.68, 6 Ho 3.80-4.10
La 0.1729 0.0000 0.3461  2 La 3.68, 4 Pm 3.68, 6 Ho 3.80-4.10
Pm 0.3628 0.5000 0.7256  5 Ho 3.20-3.58
Pm 0.6372 0.5000 0.2744  5 Ho 3.20-3.58
Ho 0.2846 0.5000 0.5687  1 Pm 3.20, 2 Ho 3.35
Ho 0.7154 0.5000 0.4313  1 Pm 3.20, 2 Ho 3.35
Ho 0.4167 0.0000 0.8335  6 Ho 3.43-3.68, 2 Pm 3.58
Ho 0.0000 0.0000 0.0000  4 La 3.37, 2 Ho 3.68
Ho 0.5833 0.0000 0.1665  6 Ho 3.43-3.68, 2 Pm 3.58
Ho 0.0676 0.5000 0.1355  2 La 3.32, 2 Pm 3.38, 6 Ho 3.43-3.68
Ho 0.9324 0.5000 0.8645  2 La 3.32, 2 Pm 3.38, 6 Ho 3.43-3.68

Computed properties:
Total magnetization ... 0.00 μB per formula unit
Calculated total energy ... -4.456 eV/atom
V ... 35.4 A^3/atom
Space-group type ... Cmmm (65)